Below is an optimized crystal structure of MnBeAs3, with properties calculated at the PBE level.

## Properties
As for the space-group type: Pm-3m (221). The formation enthalpy at 0 K is 95.42 kJ per mole of atoms. Its density of states at the Fermi level is 6.34 states/eV/f.u. The value obtained for the energy above the most stable polymorph in this dataset is 0.230 eV per atom.

Cell: 4.4171 4.4171 4.4171 Å, 90.00 90.00 90.00°
Atoms (fractional coordinates):
Be  0.0000  0.0000  0.0000
As  0.0000  0.5000  0.0000
As  0.0000  0.0000  0.5000
As  0.5000  0.0000  0.0000
Mn  0.5000  0.5000  0.5000

Below is an optimized crystal structure of MnBeAsN2, with properties calculated at the PBE level.

## Properties
As for the space-group type: P4/mmm (123). The uncorrected formation energy is 1.313 eV per atom. Its density of states at the Fermi level is 5.44 states/eV/f.u.

Cell: 3.3695 5.0741 3.3695 Å, 90.00 90.00 90.00°
Atoms (fractional coordinates):
Be  0.0000  0.0000  0.0000
As  0.0000  0.5000  0.0000
Mn  0.5000  0.5000  0.5000
N  0.0000  0.0000  0.5000
N  0.5000  0.0000  0.0000

Below is an optimized crystal structure of NaMnBeAs2, with properties calculated at the PBE level.

## Properties
As for the space-group type: I-4m2 (119). The formation enthalpy at 0 K is -23.82 kJ per mole of atoms. Its density of states at the Fermi level is 1.89 states/eV/f.u.

Cell: 3.7814 3.7814 7.0912 Å, 105.46 105.46 90.00°
Atoms (fractional coordinates):
Na  0.0000  0.0000  0.0000
Mn  0.7500  0.2500  0.5000
Be  0.2500  0.7500  0.5000
As  0.6371  0.6371  0.2742
As  0.3629  0.3629  0.7258

Question: Number 3 is which compound?
Answer: NaMnBeAs2